1.
Li2Th2Ga3: optimized geometry, GGA-PBE.

Cell and atoms, written as POSCAR:
```
Li2Th2Ga3
1.0
-3.6250 -2.6628 0.1491
2.0565 -3.1306 -5.9128
6.7020 -5.0408 4.9998
Th Li Ga
4 4 6
direct
0.0489 0.7500 0.0978 Th
0.8449 0.7500 0.6898 Th
0.1551 0.2500 0.3102 Th
0.9511 0.2500 0.9022 Th
0.3110 0.0642 0.6220 Li
0.6890 0.5642 0.3780 Li
0.3110 0.4358 0.6220 Li
0.6890 0.9358 0.3780 Li
0.5618 0.0668 0.1236 Ga
0.4382 0.5668 0.8764 Ga
0.5618 0.4332 0.1236 Ga
0.2210 0.7500 0.4421 Ga
0.4382 0.9332 0.8764 Ga
0.7790 0.2500 0.5579 Ga
```

Output
- DFT formation energy (eV per atom) = -0.412
- DOS(E_F) (states/eV/f.u.) = 5.3
- space group = Cmcm

***

2.
PmMnC3: optimized geometry, GGA-PBE.

Cell and atoms, written as POSCAR:
```
PmMnC3
1.0
5.5016 0.0000 -0.1174
2.7508 4.6473 -0.0587
1.6679 0.0000 4.6788
Pm Mn C
2 2 6
direct
0.1707 0.6587 0.2500 Pm
0.8293 0.3413 0.7500 Pm
0.4777 0.0447 0.7500 Mn
0.5223 0.9553 0.2500 Mn
0.8252 0.8422 0.8870 C
0.1748 0.1578 0.1130 C
0.1097 0.7806 0.7500 C
0.3326 0.8422 0.6130 C
0.6674 0.1578 0.3870 C
0.8903 0.2194 0.2500 C
```

Output
- DFT formation energy (eV per atom) = 0.084
- DOS(E_F) (states/eV/f.u.) = 1.7
- space group = C2/c

***

3.
KZnInS3: optimized geometry, GGA-PBE.

Cell and atoms, written as POSCAR:
```
KZnInS3
1.0
3.8431 0.0000 0.0000
0.0000 8.7394 -0.1752
0.0000 -2.5020 9.1705
K In S Zn
2 2 6 2
direct
0.2500 0.2063 0.2417 K
0.7500 0.7937 0.7583 K
0.2500 0.6588 0.1213 In
0.7500 0.3412 0.8787 In
0.7500 0.4674 0.1604 S
0.2500 0.5326 0.8396 S
0.7500 0.1964 0.5226 S
0.2500 0.8036 0.4774 S
0.2500 0.1305 0.8593 S
0.7500 0.8695 0.1407 S
0.2500 0.0894 0.6046 Zn
0.7500 0.9106 0.3954 Zn
```

Output
- DOS(E_F) (states/eV/f.u.) = 0.0
- E_form (uncorrected) (meV per atom) = -841
- space group = P2_1/m

***

4.
MnIn3Sn: optimized geometry, GGA-PBE.

Cell and atoms, written as POSCAR:
```
MnIn3Sn
1.0
5.6741 0.0000 0.0000
0.0000 5.6741 0.0000
0.0000 0.0000 5.6741
Sn In Mn
1 3 1
direct
0.0000 0.0000 0.0000 Sn
0.0000 0.0000 0.5000 In
0.5000 0.0000 0.0000 In
0.0000 0.5000 0.0000 In
0.5000 0.5000 0.5000 Mn
```

Output
- DFT formation energy (eV per atom) = 0.877
- DOS(E_F) (states/eV/f.u.) = 4.9
- space group = Pm-3m
- energy above the lowest structure with this stoichiometry (meV per atom) = 550

***

5.
ZnCoW: optimized geometry, GGA-PBE.

Cell and atoms, written as POSCAR:
```
ZnCoW
1.0
4.0990 0.0000 0.0000
2.0495 3.5498 0.0000
2.0495 1.1833 3.3468
Co W Zn
1 1 1
direct
0.5000 0.5000 0.5000 Co
0.7500 0.7500 0.7500 W
0.0000 0.0000 0.0000 Zn
```

Output
- DFT formation energy (eV per atom) = 0.911
- DOS(E_F) (states/eV/f.u.) = 3.5
- space group = F-43m
- energy above the lowest structure with this stoichiometry (meV per atom) = 814

***

6.
CaLaGaPb: optimized geometry, GGA-PBE.

Cell and atoms, written as POSCAR:
```
CaLaGaPb
1.0
-3.3720 4.1543 -1.1331
-5.3756 -0.5293 0.8573
-2.4054 2.7567 4.0654
La Ca Pb Ga
1 1 1 1
direct
0.0000 0.0000 0.0000 La
0.5000 0.5000 0.5000 Ca
0.7500 0.7500 0.7500 Pb
0.2500 0.2500 0.2500 Ga
```

Output
- DFT formation energy (eV per atom) = -0.496
- DOS(E_F) (states/eV/f.u.) = 2.3
- space group = F-43m

***

7.
Ho2Si4Ir3Rh: optimized geometry, GGA-PBE.

Cell and atoms, written as POSCAR:
```
Ho2Si4Ir3Rh
1.0
-3.5291 0.6015 -2.0457
-2.1320 -0.9281 3.4050
0.0865 9.4808 2.6384
Ir Rh Si Ho
3 1 4 2
direct
0.5000 0.0000 0.8709 Ir
0.0000 0.5000 0.1291 Ir
0.0000 0.0000 0.5000 Ir
0.5000 0.5000 0.5000 Rh
0.5000 0.5000 0.0000 Si
0.0000 0.5000 0.3695 Si
0.5000 0.0000 0.6305 Si
0.0000 0.0000 0.0000 Si
0.0000 0.5000 0.7549 Ho
0.5000 0.0000 0.2451 Ho
```

Output
- DOS(E_F) (states/eV/f.u.) = 4.5
- E_form (uncorrected) (meV per atom) = -1068
- space group = P-4m2

***

8.
Sr2HgRuN: optimized geometry, GGA-PBE.

Cell and atoms, written as POSCAR:
```
Sr2HgRuN
1.0
5.4957 0.0000 0.0000
0.0000 5.4957 0.0000
0.0000 0.0000 3.8360
Sr N Ru Hg
2 1 1 1
direct
0.5000 0.0000 0.0000 Sr
0.0000 0.5000 0.0000 Sr
0.0000 0.0000 0.0000 N
0.0000 0.0000 0.5000 Ru
0.5000 0.5000 0.5000 Hg
```

Output
- DOS(E_F) (states/eV/f.u.) = 2.6
- E_form (uncorrected) (meV per atom) = -465
- space group = P4/mmm

***

9.
PPbCl2: optimized geometry, GGA-PBE.

Cell and atoms, written as POSCAR:
```
PPbCl2
1.0
-3.3089 1.4140 1.6281
2.0813 -2.4987 2.2413
4.3419 6.4822 3.1948
Cl Pb P
2 1 1
direct
0.0000 0.0000 0.9471 Cl
0.5000 0.5000 0.3536 Cl
0.5000 0.5000 0.7288 Pb
0.0000 0.0000 0.4705 P
```

Output
- DOS(E_F) (states/eV/f.u.) = 1.5
- E_form (uncorrected) (meV per atom) = -29
- space group = Cmm2
- energy above the lowest structure with this stoichiometry (meV per atom) = 350

***

10.
Be3FeSb: optimized geometry, GGA-PBE.

Cell and atoms, written as POSCAR:
```
Be3FeSb
1.0
4.5688 0.0000 0.0000
0.0000 4.5688 0.0000
0.0000 0.0000 4.5688
Sb Be Fe
1 3 1
direct
0.0000 0.0000 0.0000 Sb
0.0000 0.5000 0.0000 Be
0.5000 0.0000 0.0000 Be
0.0000 0.0000 0.5000 Be
0.5000 0.5000 0.5000 Fe
```

Output
- DOS(E_F) (states/eV/f.u.) = 7.5
- E_form (uncorrected) (meV per atom) = 1651
- space group = Pm-3m
- energy above the lowest structure with this stoichiometry (meV per atom) = 969

***

11.
Sm2ErNi: optimized geometry, GGA-PBE.

Cell and atoms, written as POSCAR:
```
Sm2ErNi
1.0
6.3312 0.0000 0.0000
0.0000 6.9090 0.0000
0.0000 0.0000 9.8138
Ni Sm Er
4 8 4
direct
0.9468 0.6115 0.7500 Ni
0.5532 0.1115 0.7500 Ni
0.0532 0.3885 0.2500 Ni
0.4468 0.8885 0.2500 Ni
0.1764 0.6805 0.4338 Sm
0.3236 0.1805 0.0662 Sm
0.3236 0.1805 0.4338 Sm
0.1764 0.6805 0.0662 Sm
0.8236 0.3195 0.5662 Sm
0.6764 0.8195 0.9338 Sm
0.8236 0.3195 0.9338 Sm
0.6764 0.8195 0.5662 Sm
0.6481 0.5367 0.2500 Er
0.1481 0.9633 0.7500 Er
0.3519 0.4633 0.7500 Er
0.8519 0.0367 0.2500 Er
```

Output
- DFT formation energy (eV per atom) = -0.215
- DOS(E_F) (states/eV/f.u.) = 3.8
- space group = Pnma

***

12.
LaPrAgBr: optimized geometry, GGA-PBE.

Cell and atoms, written as POSCAR:
```
LaPrAgBr
1.0
-5.1236 1.6521 -0.1003
-3.3102 -1.7276 -3.8793
-3.9638 -3.4473 1.1810
Br Pr La Ag
1 1 1 1
direct
0.2500 0.2500 0.2500 Br
0.0000 0.0000 0.0000 Pr
0.5000 0.5000 0.5000 La
0.7500 0.7500 0.7500 Ag
```

Output
- DOS(E_F) (states/eV/f.u.) = 5.8
- E_form (uncorrected) (meV per atom) = -544
- space group = F-43m

***

13.
YHF2: optimized geometry, GGA-PBE.

Cell and atoms, written as POSCAR:
```
YHF2
1.0
3.7592 0.0000 0.0000
0.0000 3.7592 0.0000
1.8796 1.8796 7.4048
F Y H
4 2 2
direct
0.0853 0.6250 0.2500 F
0.6647 0.1250 0.2500 F
0.3750 0.3353 0.7500 F
0.8750 0.9147 0.7500 F
0.7500 0.2500 0.5000 Y
0.0000 0.0000 0.0000 Y
0.5000 0.5000 0.0000 H
0.2500 0.7500 0.5000 H
```

Output
- DOS(E_F) (states/eV/f.u.) = 0.0
- space group = I-42d
- energy above the lowest structure with this stoichiometry (meV per atom) = 251

***

14.
AcBe3As3: optimized geometry, GGA-PBE.

Cell and atoms, written as POSCAR:
```
AcBe3As3
1.0
-2.0073 -2.0976 -2.8407
7.8788 -3.6559 -2.8678
-4.8710 -4.1712 6.5220
Be As Ac
6 6 2
direct
0.2500 0.3395 0.3994 Be
0.7500 0.9401 0.3395 Be
0.7500 0.6605 0.6006 Be
0.2500 0.6006 0.9401 Be
0.2500 0.0599 0.6605 Be
0.7500 0.3994 0.0599 Be
0.7500 0.6851 0.0811 As
0.7500 0.3960 0.3149 As
0.2500 0.0811 0.3960 As
0.2500 0.6040 0.6851 As
0.7500 0.9189 0.6040 As
0.2500 0.3149 0.9189 As
0.2500 0.6667 0.3333 Ac
0.7500 0.3333 0.6667 Ac
```

Output
- DFT formation energy (eV per atom) = -0.466
- DOS(E_F) (states/eV/f.u.) = 0.0
- space group = P6_3/m

***

15.
SrTaRh2F: optimized geometry, GGA-PBE.

Cell and atoms, written as POSCAR:
```
SrTaRh2F
1.0
-1.3627 -4.0759 -1.7557
2.9117 0.3772 -3.1357
3.1295 -2.1847 2.6431
Rh F Sr Ta
2 1 1 1
direct
0.0000 0.0000 0.5000 Rh
0.5000 0.0000 0.0000 Rh
0.0000 0.0000 0.0000 F
0.0000 0.5000 0.0000 Sr
0.5000 0.5000 0.5000 Ta
```

Output
- DOS(E_F) (states/eV/f.u.) = 5.5
- E_form (uncorrected) (meV per atom) = 244
- space group = P4/mmm

***

16.
KTl2V2: optimized geometry, GGA-PBE.

Cell and atoms, written as POSCAR:
```
KTl2V2
1.0
8.5057 0.0000 0.0000
0.0000 8.5057 0.0000
0.0000 0.0000 3.1724
Tl K V
4 2 4
direct
0.7958 0.2958 0.5000 Tl
0.2042 0.7042 0.5000 Tl
0.2958 0.2042 0.5000 Tl
0.7042 0.7958 0.5000 Tl
0.5000 0.5000 0.0000 K
0.0000 0.0000 0.0000 K
0.4198 0.9198 0.0000 V
0.0802 0.4198 0.0000 V
0.9198 0.5802 0.0000 V
0.5802 0.0802 0.0000 V
```

Output
- DFT formation energy (eV per atom) = 0.527
- DOS(E_F) (states/eV/f.u.) = 5.2
- space group = P4/mbm
- energy above the lowest structure with this stoichiometry (meV per atom) = 0

***

17.
Mo4IrRu: optimized geometry, GGA-PBE.

Cell and atoms, written as POSCAR:
```
Mo4IrRu
1.0
4.2900 -0.8593 2.6564
2.7617 3.9401 1.7458
0.1464 0.9987 5.0180
Ir Mo Ru
1 4 1
direct
0.0000 0.0000 0.0000 Ir
0.6250 0.6250 0.1249 Mo
0.6250 0.6250 0.6250 Mo
0.6250 0.1249 0.6250 Mo
0.1249 0.6250 0.6250 Mo
0.2500 0.2500 0.2500 Ru
```

Output
- DFT formation energy (eV per atom) = 0.255
- DOS(E_F) (states/eV/f.u.) = 5.0
- space group = F-43m

***

18.
TbCeBeGa: optimized geometry, GGA-PBE.

Cell and atoms, written as POSCAR:
```
TbCeBeGa
1.0
-4.0840 2.7143 0.9139
-3.7774 -0.0034 -3.2577
-4.2912 -2.2635 1.1593
Ce Tb Ga Be
1 1 1 1
direct
0.5000 0.5000 0.5000 Ce
0.0000 0.0000 0.0000 Tb
0.2500 0.2500 0.2500 Ga
0.7500 0.7500 0.7500 Be
```

Output
- DFT formation energy (eV per atom) = -0.168
- DOS(E_F) (states/eV/f.u.) = 4.7
- space group = F-43m

***

19.
Be2InMo: optimized geometry, GGA-PBE.

Cell and atoms, written as POSCAR:
```
Be2InMo
1.0
-1.6418 3.4128 -2.5058
-2.8886 -1.9570 -2.9065
0.2083 -0.3857 4.5199
Be Mo In
2 1 1
direct
0.0000 0.0000 0.0000 Be
0.5000 0.5000 0.0000 Be
0.7500 0.2500 0.5000 Mo
0.2500 0.7500 0.5000 In
```

Output
- DFT formation energy (eV per atom) = 0.436
- DOS(E_F) (states/eV/f.u.) = 2.6
- space group = I4/mmm

***

20.
PrInS2: optimized geometry, GGA-PBE.

Cell and atoms, written as POSCAR:
```
PrInS2
1.0
-3.8075 -0.8665 1.5012
-1.2506 -3.9757 0.3625
1.1455 -1.8630 7.6590
S In Pr
2 1 1
direct
0.0721 0.0721 0.7836 S
0.2680 0.2680 0.1961 S
0.4936 0.4936 0.5193 In
0.6663 0.6663 0.0011 Pr
```

Output
- E_form (uncorrected) (meV per atom) = -1328
- space group = R3m